Entry 1:
Below is Ta2NbPdO after structural relaxation, with properties calculated at the PBE-GGA level.

Computed properties:
Its distance to the lowest polymorph of the same formula is 0.00 eV/f.u. The calculation puts the formation energy (no corrections) at -649 meV/atom. Its theoretical density is 12.63 Mg/m³.

Lattice parameters (Å, degrees): 4.2225 4.2573 4.2225 90.00 90.00 90.00
Last column: nearest neighbours and their distance in Å.
Positions (direct):
O (0.0000, 0.0000, 0.0000)  4 Ta 2.11, 2 Nb 2.13
Ta (0.5000, 0.0000, 0.0000)  2 O 2.11
Ta (0.0000, 0.0000, 0.5000)  2 O 2.11
Pd (0.5000, 0.5000, 0.5000)  4 Nb 2.99, 8 Ta 3.00
Nb (0.0000, 0.5000, 0.0000)  2 O 2.13



Entry 2:
Below is Pm5PtPb4 after structural relaxation, with properties calculated at the PBE-GGA level.

Computed properties:
Its theoretical density is 9.15 Mg/m³. The energy relative to the elements comes out at -0.495 eV/atom.

Lattice parameters (Å, degrees): 6.3938 7.7354 7.7354 80.17 65.59 65.59
Last column: nearest neighbours and their distance in Å.
Positions (direct):
Pb (0.3984, 0.3909, 0.7821)  6 Pm 3.19-3.27
Pb (0.5714, 0.6091, 0.2179)  6 Pm 3.19-3.27
Pb (0.1805, 0.2179, 0.3909)  6 Pm 3.19-3.27
Pb (0.7893, 0.7821, 0.6091)  6 Pm 3.19-3.27
Pt (0.0493, 0.0000, 0.0000)  5 Pm 2.93-3.06
Pm (0.8922, 0.3705, 0.8203)  1 Pt 2.93, 5 Pb 3.19-3.27
Pm (0.0830, 0.6295, 0.1797)  1 Pt 2.93, 5 Pb 3.19-3.27
Pm (0.7125, 0.1797, 0.3705)  1 Pt 2.93, 5 Pb 3.19-3.27
Pm (0.2627, 0.8203, 0.6295)  1 Pt 2.93, 5 Pb 3.19-3.27
Pm (0.5707, 0.0000, 0.0000)  2 Pt 3.06-3.33, 4 Pb 3.20



Entry 3:
Below is Zr2B7Ir12 after structural relaxation, with properties calculated at the PBE-GGA level.

Computed properties:
Its theoretical density is 15.96 Mg/m³. The energy relative to the elements comes out at -0.402 eV/atom.

Lattice parameters (Å, degrees): 3.8877 8.9014 8.9014 120.00 90.00 90.00
Last column: nearest neighbours and their distance in Å.
Positions (direct):
Ir (0.7476, 0.8490, 0.1013)  2 B 2.15-2.18
Ir (0.2492, 0.4504, 0.3798)  2 B 2.13-2.16
Ir (0.7508, 0.3798, 0.9294)  2 B 2.13-2.16
Ir (0.2492, 0.9294, 0.5496)  2 B 2.13-2.16
Ir (0.2524, 0.1510, 0.8987)  2 B 2.15-2.18
Ir (0.2524, 0.1013, 0.2523)  2 B 2.15-2.18
Ir (0.2492, 0.6202, 0.0706)  2 B 2.13-2.16
Ir (0.7476, 0.2523, 0.1510)  2 B 2.15-2.18
Ir (0.2524, 0.7477, 0.8490)  2 B 2.15-2.18
Ir (0.7508, 0.0706, 0.4504)  2 B 2.13-2.16
Ir (0.7508, 0.5496, 0.6202)  2 B 2.13-2.16
Ir (0.7476, 0.8987, 0.7477)  2 B 2.15-2.18
B (0.2412, 0.4094, 0.1198)  3 Ir 2.13-2.16
B (0.7588, 0.2896, 0.4094)  3 Ir 2.13-2.16
B (0.7588, 0.1198, 0.7104)  3 Ir 2.13-2.16
B (0.5000, 0.0000, 0.0000)  6 Ir 2.18
B (0.2412, 0.8802, 0.2896)  3 Ir 2.13-2.16
B (0.2412, 0.7104, 0.5906)  3 Ir 2.13-2.16
B (0.7588, 0.5906, 0.8802)  3 Ir 2.13-2.16
Zr (0.7467, 0.6667, 0.3333)  6 B 2.86-2.89, 12 Ir 2.90-3.20
Zr (0.2533, 0.3333, 0.6667)  6 B 2.86-2.89, 12 Ir 2.90-3.20



Entry 4:
Below is AcEuSb2 after structural relaxation, with properties calculated at the PBE-GGA level.

Computed properties:
Its distance to the lowest polymorph of the same formula is 0.41 eV/f.u. The calculation puts the formation energy (no corrections) at -924 meV/atom. Its theoretical density is 7.99 Mg/m³.

Lattice parameters (Å, degrees): 3.5831 6.0098 6.0098 90.00 90.00 90.00
Last column: nearest neighbours and their distance in Å.
Positions (direct):
Sb (0.0000, 0.5000, 0.0000)  4 Eu 3.50, 4 Ac 3.50, 2 Sb 3.58
Sb (0.0000, 0.0000, 0.5000)  4 Ac 3.50, 4 Eu 3.50, 2 Sb 3.58
Eu (0.5000, 0.5000, 0.5000)  8 Sb 3.50, 2 Eu 3.58
Ac (0.5000, 0.0000, 0.0000)  8 Sb 3.50, 2 Ac 3.58



Entry 5:
Below is AlCr after structural relaxation, with properties calculated at the PBE-GGA level.

Computed properties:
Its theoretical density is 4.35 Mg/m³. The energy relative to the elements comes out at 0.173 eV/atom.

Lattice parameters (Å, degrees): 7.5540 7.5540 4.2220 90.00 90.00 90.00
Last column: nearest neighbours and their distance in Å.
Positions (direct):
Cr (0.4556, 0.2878, 0.5000)  6 Cr 2.32-2.57, 1 Al 2.52
Cr (0.3913, 0.7085, 0.0000)  6 Cr 2.41-2.57, 3 Al 2.53-2.69
Cr (0.6087, 0.2915, 0.0000)  6 Cr 2.41-2.57, 3 Al 2.53-2.69
Cr (0.2915, 0.3913, 0.0000)  6 Cr 2.41-2.57, 3 Al 2.53-2.69
Cr (0.7122, 0.4556, 0.5000)  6 Cr 2.32-2.57, 1 Al 2.52
Cr (0.5444, 0.7122, 0.5000)  6 Cr 2.32-2.57, 1 Al 2.52
Cr (0.7085, 0.6087, 0.0000)  6 Cr 2.41-2.57, 3 Al 2.53-2.69
Cr (0.2878, 0.5444, 0.5000)  6 Cr 2.32-2.57, 1 Al 2.52
Al (0.7767, 0.1286, 0.5000)  4 Cr 2.52-2.75, 4 Al 2.69-2.75
Al (0.6623, 0.9400, 0.0000)  3 Cr 2.53-2.69, 3 Al 2.61-2.69
Al (0.0600, 0.6623, 0.0000)  3 Cr 2.53-2.69, 3 Al 2.61-2.69
Al (0.9400, 0.3377, 0.0000)  3 Cr 2.53-2.69, 3 Al 2.61-2.69
Al (0.1286, 0.2233, 0.5000)  4 Cr 2.52-2.75, 4 Al 2.69-2.75
Al (0.3377, 0.0600, 0.0000)  3 Cr 2.53-2.69, 3 Al 2.61-2.69
Al (0.8714, 0.7767, 0.5000)  4 Cr 2.52-2.75, 4 Al 2.69-2.75
Al (0.2233, 0.8714, 0.5000)  4 Cr 2.52-2.75, 4 Al 2.69-2.75



Entry 6:
Below is YEr3Tl2 after structural relaxation, with properties calculated at the PBE-GGA level.

Computed properties:
Its distance to the lowest polymorph of the same formula is 0.00 eV/f.u. Its theoretical density is 9.74 Mg/m³. The energy relative to the elements comes out at -0.272 eV/atom.

Lattice parameters (Å, degrees): 5.0411 6.8423 9.8840 90.00 90.00 90.00
Last column: nearest neighbours and their distance in Å.
Positions (direct):
Tl (0.0000, 0.2906, 0.6314)  5 Er 3.18-3.39, 4 Y 3.19-3.48
Tl (0.5000, 0.7084, 0.8690)  8 Er 3.16-3.48, 1 Y 3.38
Tl (0.0000, 0.7906, 0.3686)  5 Er 3.18-3.39, 4 Y 3.19-3.48
Tl (0.5000, 0.2084, 0.1310)  8 Er 3.16-3.48, 1 Y 3.38
Er (0.0000, 0.4520, 0.9554)  5 Tl 3.19-3.48, 4 Er 3.49-3.53
Er (0.0000, 0.8332, 0.6910)  4 Tl 3.18-3.20, 2 Y 3.50
Er (0.5000, 0.6669, 0.1876)  4 Tl 3.16-3.20, 2 Er 3.49
Er (0.0000, 0.3332, 0.3090)  4 Tl 3.18-3.20, 2 Y 3.50
Er (0.5000, 0.1669, 0.8124)  4 Tl 3.16-3.20, 2 Er 3.49
Er (0.0000, 0.9520, 0.0446)  5 Tl 3.19-3.48, 4 Er 3.49-3.53
Y (0.5000, 0.5489, 0.5450)  5 Tl 3.19-3.48, 2 Er 3.50, 2 Y 3.53
Y (0.5000, 0.0489, 0.4550)  5 Tl 3.19-3.48, 2 Er 3.50, 2 Y 3.53